one.
VASP calculation (GGA-PBE) on an optimized crystal structure of ZnCu15.

abc: 5.100 2.549 42.175
angles: 90.00 90.00 90.00
Fractional coordinates of all 32 atoms:
Cu: 0.375 0.250 0.393
Cu: 0.625 0.750 0.436
Cu: 0.628 0.750 0.779
Cu: 0.875 0.250 0.393
Cu: 0.125 0.750 0.264
Cu: 0.625 0.750 0.693
Cu: 0.125 0.750 0.178
Cu: 0.125 0.750 0.607
Cu: 0.375 0.250 0.650
Cu: 0.625 0.750 0.350
Cu: 0.372 0.250 0.221
Cu: 0.625 0.750 0.607
Cu: 0.875 0.250 0.650
Cu: 0.125 0.750 0.693
Cu: 0.375 0.250 0.307
Cu: 0.625 0.750 0.264
Cu: 0.375 0.250 0.564
Cu: 0.375 0.250 0.736
Cu: 0.375 0.250 0.479
Cu: 0.875 0.250 0.564
Cu: 0.625 0.750 0.521
Cu: 0.122 0.750 0.779
Cu: 0.875 0.250 0.479
Cu: 0.875 0.250 0.736
Cu: 0.125 0.750 0.436
Cu: 0.125 0.750 0.350
Cu: 0.125 0.750 0.521
Cu: 0.878 0.250 0.221
Cu: 0.875 0.250 0.822
Cu: 0.875 0.250 0.307
Zn: 0.375 0.250 0.823
Zn: 0.625 0.750 0.177


two.
VASP calculation (GGA-PBE) on an optimized crystal structure of ZnCu15.

abc: 5.106 3.585 33.978
angles: 90.00 90.00 90.00
Fractional coordinates of all 32 atoms:
Cu: 0.875 0.750 0.019
Cu: 0.127 0.250 0.754
Cu: 0.625 0.250 0.206
Cu: 0.625 0.250 0.131
Cu: 0.374 0.750 0.169
Cu: 0.375 0.750 0.019
Cu: 0.375 0.750 0.794
Cu: 0.375 0.750 0.944
Cu: 0.125 0.250 0.981
Cu: 0.375 0.750 0.869
Cu: 0.375 0.750 0.094
Cu: 0.625 0.250 0.056
Cu: 0.873 0.750 0.246
Cu: 0.875 0.750 0.869
Cu: 0.375 0.750 0.720
Cu: 0.875 0.750 0.944
Cu: 0.625 0.250 0.280
Cu: 0.626 0.250 0.831
Cu: 0.625 0.250 0.981
Cu: 0.876 0.750 0.169
Cu: 0.125 0.250 0.206
Cu: 0.125 0.250 0.906
Cu: 0.124 0.250 0.831
Cu: 0.875 0.750 0.094
Cu: 0.377 0.750 0.246
Cu: 0.875 0.750 0.794
Cu: 0.125 0.250 0.056
Cu: 0.125 0.250 0.131
Cu: 0.623 0.250 0.754
Cu: 0.625 0.250 0.906
Zn: 0.875 0.750 0.717
Zn: 0.125 0.250 0.283


one is favored, and the nearest alternative lies 0.029 eV/atom above it.


one.
VASP calculation (GGA-PBE) on an optimized crystal structure of ZnCu15.

abc: 4.404 34.169 4.404
angles: 90.00 109.03 90.00
Fractional coordinates of all 32 atoms:
Cu: 0.000 0.295 0.750
Cu: 0.000 0.705 0.250
Cu: 0.500 0.779 0.750
Cu: 0.500 0.705 0.750
Cu: 0.500 0.444 0.250
Cu: 0.000 0.669 0.750
Cu: 0.000 0.444 0.750
Cu: 0.000 0.331 0.250
Cu: 0.000 0.519 0.750
Cu: 0.500 0.594 0.250
Cu: 0.000 0.594 0.750
Cu: 0.000 0.369 0.750
Cu: 0.000 0.631 0.250
Cu: 0.500 0.221 0.250
Cu: 0.000 0.255 0.250
Cu: 0.000 0.745 0.750
Cu: 0.500 0.556 0.750
Cu: 0.000 0.481 0.250
Cu: 0.500 0.406 0.750
Cu: 0.500 0.481 0.750
Cu: 0.500 0.669 0.250
Cu: 0.000 0.556 0.250
Cu: 0.500 0.295 0.250
Cu: 0.500 0.745 0.250
Cu: 0.500 0.331 0.750
Cu: 0.500 0.519 0.250
Cu: 0.500 0.631 0.750
Cu: 0.500 0.255 0.750
Cu: 0.500 0.369 0.250
Cu: 0.000 0.406 0.250
Zn: 0.000 0.781 0.250
Zn: 0.000 0.219 0.750


two.
VASP calculation (GGA-PBE) on an optimized crystal structure of ZnCu15.

abc: 7.211 42.129 3.608
angles: 90.00 90.00 90.00
Fractional coordinates of all 64 atoms:
Cu: 0.624 0.736 0.500
Cu: 0.125 0.650 0.500
Cu: 0.377 0.221 0.000
Cu: 0.625 0.521 0.000
Cu: 0.625 0.436 0.000
Cu: 0.875 0.479 0.000
Cu: 0.625 0.564 0.500
Cu: 0.127 0.222 0.500
Cu: 0.125 0.350 0.000
Cu: 0.625 0.607 0.000
Cu: 0.125 0.264 0.000
Cu: 0.125 0.736 0.500
Cu: 0.125 0.307 0.500
Cu: 0.873 0.222 0.000
Cu: 0.375 0.693 0.500
Cu: 0.875 0.607 0.500
Cu: 0.375 0.436 0.500
Cu: 0.125 0.436 0.000
Cu: 0.375 0.564 0.000
Cu: 0.622 0.178 0.000
Cu: 0.376 0.264 0.500
Cu: 0.875 0.736 0.000
Cu: 0.625 0.479 0.500
Cu: 0.624 0.264 0.000
Cu: 0.375 0.521 0.500
Cu: 0.376 0.736 0.000
Cu: 0.125 0.564 0.500
Cu: 0.875 0.436 0.500
Cu: 0.375 0.393 0.000
Cu: 0.127 0.778 0.000
Cu: 0.625 0.693 0.000
Cu: 0.875 0.521 0.500
Cu: 0.625 0.350 0.000
Cu: 0.125 0.607 0.000
Cu: 0.377 0.779 0.500
Cu: 0.375 0.607 0.500
Cu: 0.375 0.479 0.000
Cu: 0.375 0.307 0.000
Cu: 0.625 0.393 0.500
Cu: 0.625 0.650 0.500
Cu: 0.622 0.822 0.500
Cu: 0.875 0.350 0.500
Cu: 0.625 0.307 0.500
Cu: 0.125 0.693 0.000
Cu: 0.125 0.521 0.000
Cu: 0.875 0.564 0.000
Cu: 0.375 0.350 0.500
Cu: 0.875 0.307 0.000
Cu: 0.125 0.479 0.500
Cu: 0.875 0.393 0.000
Cu: 0.125 0.393 0.500
Cu: 0.378 0.178 0.500
Cu: 0.375 0.650 0.000
Cu: 0.623 0.221 0.500
Cu: 0.875 0.650 0.000
Cu: 0.873 0.778 0.500
Cu: 0.875 0.264 0.500
Cu: 0.875 0.693 0.500
Cu: 0.378 0.822 0.000
Cu: 0.623 0.779 0.000
Zn: 0.867 0.177 0.500
Zn: 0.133 0.177 0.000
Zn: 0.133 0.823 0.500
Zn: 0.867 0.823 0.000


three.
VASP calculation (GGA-PBE) on an optimized crystal structure of ZnCu15.

abc: 7.156 2.557 34.068
angles: 90.00 90.00 90.00
Fractional coordinates of all 32 atoms:
Cu: 0.875 0.750 0.406
Cu: 0.625 0.250 0.594
Cu: 0.623 0.250 0.745
Cu: 0.375 0.750 0.780
Cu: 0.874 0.750 0.331
Cu: 0.125 0.250 0.519
Cu: 0.125 0.250 0.370
Cu: 0.126 0.250 0.669
Cu: 0.375 0.750 0.556
Cu: 0.624 0.250 0.669
Cu: 0.125 0.250 0.594
Cu: 0.125 0.250 0.295
Cu: 0.625 0.250 0.369
Cu: 0.875 0.750 0.705
Cu: 0.375 0.750 0.406
Cu: 0.127 0.250 0.745
Cu: 0.125 0.250 0.444
Cu: 0.875 0.750 0.481
Cu: 0.625 0.250 0.444
Cu: 0.375 0.750 0.481
Cu: 0.875 0.750 0.630
Cu: 0.376 0.750 0.331
Cu: 0.625 0.250 0.295
Cu: 0.873 0.750 0.255
Cu: 0.375 0.750 0.705
Cu: 0.625 0.250 0.519
Cu: 0.377 0.750 0.255
Cu: 0.875 0.750 0.556
Cu: 0.375 0.750 0.631
Cu: 0.625 0.250 0.220
Zn: 0.125 0.250 0.218
Zn: 0.875 0.750 0.782


two is favored, and the nearest alternative lies 0.029 eV/atom above it.


one.
VASP calculation (GGA-PBE) on an optimized crystal structure of Zr4Cu3.

Results
total moment	0.002	μB per atom

abc: 8.066 8.067 4.548
angles: 90.00 90.00 60.00
Fractional coordinates of all 14 atoms:
Cu: 0.680 0.460 0.000
Cu: 0.318 0.573 0.000
Cu: 0.431 0.823 0.000
Cu: 0.522 0.415 0.500
Cu: 0.272 0.778 0.500
Cu: 0.635 0.665 0.500
Zr: 0.816 0.715 0.000
Zr: 0.380 0.055 0.500
Zr: 0.572 0.183 0.000
Zr: 0.040 0.959 0.000
Zr: 0.810 0.952 0.500
Zr: 0.136 0.523 0.500
Zr: 0.143 0.286 0.000
Zr: 0.912 0.279 0.500


two.
VASP calculation (GGA-PBE) on an optimized crystal structure of Zr4Cu3.

Results
total moment	0.001	μB per atom

abc: 8.217 8.216 4.437
angles: 90.00 90.00 60.00
Fractional coordinates of all 14 atoms:
Zr: 0.007 0.190 0.500
Zr: 0.517 0.191 0.000
Zr: 0.762 0.946 0.500
Zr: 0.762 0.435 0.000
Zr: 0.517 0.435 0.500
Zr: 0.095 0.524 0.500
Zr: 0.429 0.857 0.000
Zr: 0.007 0.945 0.000
Cu: 0.364 0.132 0.500
Cu: 0.703 0.647 0.500
Cu: 0.218 0.793 0.500
Cu: 0.821 0.734 0.000
Cu: 0.305 0.588 0.000
Cu: 0.160 0.249 0.000


two is favored, and the nearest alternative lies 0.049 eV/atom above it.


one.
VASP calculation (GGA-PBE) on an optimized crystal structure of DyErGa2Pd4.

Results
total moment	0.000	μB per atom

abc: 4.672 4.672 6.613
angles: 90.00 90.00 90.00
Fractional coordinates of all 8 atoms:
Ga: 0.000 0.000 0.500
Ga: 0.500 0.500 0.000
Pd: 0.500 0.000 0.749
Pd: 0.000 0.500 0.749
Pd: 0.000 0.500 0.251
Pd: 0.500 0.000 0.251
Er: 0.500 0.500 0.500
Dy: 0.000 0.000 0.000


two.
VASP calculation (GGA-PBE) on an optimized crystal structure of DyErGa2Pd4.

Results
total moment	0.000	μB per atom

abc: 4.395 4.395 9.025
angles: 90.00 90.00 120.00
Fractional coordinates of all 8 atoms:
Er: 0.333 0.667 0.500
Ga: 0.667 0.333 0.250
Ga: 0.667 0.333 0.750
Pd: 0.000 0.000 0.667
Pd: 0.333 0.667 0.170
Pd: 0.333 0.667 0.830
Pd: 0.000 0.000 0.333
Dy: 0.000 0.000 0.000


two is favored, and the nearest alternative lies 0.076 eV/atom above it.


one.
VASP calculation (GGA-PBE) on an optimized crystal structure of DyErGa2Pt4.

Results
total moment	0.000	μB per atom

abc: 4.381 4.381 9.071
angles: 90.00 90.00 120.00
Fractional coordinates of all 8 atoms:
Er: 0.333 0.667 0.000
Pt: 0.000 0.000 0.163
Pt: 0.000 0.000 0.837
Pt: 0.333 0.667 0.666
Pt: 0.333 0.667 0.334
Dy: 0.000 0.000 0.500
Ga: 0.667 0.333 0.750
Ga: 0.667 0.333 0.250


two.
VASP calculation (GGA-PBE) on an optimized crystal structure of DyErGa2Pt4.

Results
total moment	0.000	μB per atom

abc: 4.686 4.686 6.632
angles: 90.00 90.00 90.00
Fractional coordinates of all 8 atoms:
Ga: 0.500 0.500 0.000
Ga: 0.000 0.000 0.500
Pt: 0.000 0.500 0.252
Pt: 0.500 0.000 0.748
Pt: 0.500 0.000 0.252
Pt: 0.000 0.500 0.748
Dy: 0.000 0.000 0.000
Er: 0.500 0.500 0.500


one is favored, and the nearest alternative lies 0.167 eV/atom above it.


one.
VASP calculation (GGA-PBE) on an optimized crystal structure of DyErGe2Os.

Results
total moment	0.001	μB per atom

abc: 5.797 5.797 10.091
angles: 116.05 116.05 43.48
Fractional coordinates of all 10 atoms:
Ge: 0.513 0.513 0.876
Ge: 0.357 0.357 0.438
Ge: 0.643 0.643 0.562
Ge: 0.487 0.487 0.124
Er: 0.817 0.817 0.885
Er: 0.183 0.183 0.115
Os: 0.729 0.729 0.367
Os: 0.271 0.271 0.633
Dy: 0.995 0.995 0.324
Dy: 0.005 0.005 0.676


two.
VASP calculation (GGA-PBE) on an optimized crystal structure of DyErGe2Os.

Results
total moment	0.002	μB per atom

abc: 5.777 5.777 10.092
angles: 115.84 115.84 43.62
Fractional coordinates of all 10 atoms:
Er: 0.004 0.004 0.674
Er: 0.996 0.996 0.326
Os: 0.270 0.270 0.632
Os: 0.730 0.730 0.368
Ge: 0.513 0.513 0.875
Ge: 0.642 0.642 0.561
Ge: 0.358 0.358 0.439
Ge: 0.487 0.487 0.125
Dy: 0.184 0.184 0.115
Dy: 0.816 0.816 0.885


two is favored, and the nearest alternative lies 0.009 eV/atom above it.